[1]
A plane-wave DFT calculation with PBE was carried out for a geometry-optimized CsAl2PbBr8 structure.

The uncorrected formation energy comes out at -13.07 eV per formula unit.

The structure belongs to space group R-3 (No. 148, hexagonal axes); the cell edges are 7.0604, 7.0604 and 33.1814 Å and the angles 90.00°, 90.00° and 120.00°. The inequivalent atoms are Cs at (0.0000, 0.0000, 0.0000), Al at (0.0000, 0.0000, 0.2558), Pb at (0.0000, 0.0000, 0.5000), Br at (0.0000, 0.0000, 0.3259) and Br at (0.0094, 0.6448, 0.4337).



[2]
A plane-wave DFT calculation with PBE was carried out for a geometry-optimized CaSbW2 structure.

The uncorrected formation energy comes out at 2.81 eV per formula unit.

The structure belongs to space group P4/mmm (No. 123); the cell edges are 4.0702, 4.0702 and 4.7112 Å and the angles 90.00°, 90.00° and 90.00°. The inequivalent atoms are Ca at (0.0000, 0.0000, 0.0000), Sb at (0.5000, 0.5000, 0.0000) and W at (0.0000, 0.5000, 0.5000).



[3]
A plane-wave DFT calculation with PBE was carried out for a geometry-optimized CrAgSe2 structure.

The uncorrected formation energy comes out at -0.48 eV per formula unit.

The structure belongs to space group Imm2 (No. 44); the cell edges are 3.3812, 3.6151 and 13.1300 Å and the angles 90.00°, 90.00° and 90.00°. The inequivalent atoms are Cr at (0.0000, 0.0000, 0.0000), Ag at (0.0000, 0.5000, 0.2522), Se at (0.0000, 0.0000, 0.4210) and Se at (0.0000, 0.5000, 0.6426).



[4]
A plane-wave DFT calculation with PBE was carried out for a geometry-optimized As4Br5 structure.

The uncorrected formation energy comes out at 3.00 eV per formula unit.

The structure belongs to space group I4/mmm (No. 139); the cell edges are 11.3214, 11.3214 and 3.5051 Å and the angles 90.00°, 90.00° and 90.00°. The inequivalent atoms are As at (0.0000, 0.3709, 0.0000), Br at (0.0000, 0.0000, 0.0000) and Br at (0.1661, 0.1661, 0.5000).



[5]
A plane-wave DFT calculation with PBE was carried out for a geometry-optimized PaAg2IrO8 structure.

The uncorrected formation energy comes out at -14.23 eV per formula unit.

The structure belongs to space group P2/m (No. 10); the cell edges are 5.1496, 6.5143 and 5.1721 Å and the angles 90.00°, 97.88° and 90.00°. The inequivalent atoms are Pa at (0.0000, 0.0000, 0.0000), Ag at (0.5000, 0.2604, 0.5000), Ir at (0.0000, 0.5000, 0.0000), O at (0.1889, 0.2739, 0.8630), O at (0.2402, 0.5000, 0.3126) and O at (0.2812, 0.0000, 0.3273).



[6]
A plane-wave DFT calculation with PBE was carried out for a geometry-optimized Sm3PuTh2P6 structure.

As for the formation energy: -1.51 eV per atom.

The structure belongs to space group C2/m (No. 12); the cell edges are 17.9032, 4.1137 and 8.2007 Å and the angles 90.00°, 103.26° and 90.00°. The inequivalent atoms are Sm at (0.0000, 0.0000, 0.0000), Sm at (0.1666, 0.5000, 0.3339), Pu at (0.0000, 0.0000, 0.5000), Th at (0.1648, 0.5000, 0.8301), P at (0.0004, 0.5000, 0.2563), P at (0.1653, 0.0000, 0.5821) and P at (0.1672, 0.0000, 0.0829).



Q: Number 1 is which compound?
A: CsAl2PbBr8



What did the first record say?
A plane-wave DFT calculation with PBE was carried out for a geometry-optimized CsAl2PbBr8 structure.

The uncorrected formation energy comes out at -13.07 eV per formula unit.

The structure belongs to space group R-3 (No. 148, hexagonal axes); the cell edges are 7.0604, 7.0604 and 33.1814 Å and the angles 90.00°, 90.00° and 120.00°. The inequivalent atoms are Cs at (0.0000, 0.0000, 0.0000), Al at (0.0000, 0.0000, 0.2558), Pb at (0.0000, 0.0000, 0.5000), Br at (0.0000, 0.0000, 0.3259) and Br at (0.0094, 0.6448, 0.4337).